# LiMnGa2B

A relaxed structure of LiMnGa2B (PBE, Alexandria).

Unit cell a=4.547 b=3.926 c=4.547 alpha=90.00 beta=90.00 gamma=90.00
Sites, in units of the cell vectors:
Li 0.500 0.500 0.500
Ga 0.000 0.000 0.500
B 0.000 0.500 0.000
Ga 0.500 0.000 0.000
Mn 0.000 0.000 0.000

## Properties
The calculation puts the formation energy from the elements at 0.223 eV/atom.


# CaSm4Gd

A relaxed structure of CaSm4Gd (PBE, Alexandria).

Unit cell a=6.757 b=6.757 c=6.757 alpha=60.00 beta=60.00 gamma=60.00
Sites, in units of the cell vectors:
Ca 0.250 0.250 0.250
Sm 0.626 0.122 0.626
Gd 0.000 0.000 0.000
Sm 0.626 0.626 0.626
Sm 0.626 0.626 0.122
Sm 0.122 0.626 0.626

## Properties
The calculation puts the formation energy from the elements at 0.202 eV/atom.


# Th2Hg13

A relaxed structure of Th2Hg13 (PBE, Alexandria).

Unit cell a=8.664 b=8.663 c=8.066 alpha=63.10 beta=63.20 gamma=47.54
Sites, in units of the cell vectors:
Hg 0.933 0.368 0.296
Hg 0.183 0.718 0.232
Hg 0.717 0.182 0.233
Hg 0.743 0.743 0.515
Hg 0.371 0.932 0.294
Hg 0.629 0.068 0.706
Hg 0.067 0.632 0.704
Th 0.355 0.356 0.022
Hg 0.817 0.282 0.768
Hg 0.283 0.818 0.767
Hg 0.166 0.168 0.929
Hg 0.500 0.500 0.500
Hg 0.257 0.257 0.485
Th 0.645 0.644 0.978
Hg 0.834 0.832 0.071

## Properties
The calculation puts the formation energy from the elements at -0.075 eV/atom.


# Ac2NdSm

A relaxed structure of Ac2NdSm (PBE, Alexandria).

Unit cell a=5.273 b=5.457 c=5.457 alpha=90.00 beta=90.00 gamma=90.00
Sites, in units of the cell vectors:
Ac 0.000 0.500 0.000
Sm 0.500 0.000 0.000
Ac 0.000 0.000 0.500
Nd 0.500 0.500 0.500

## Properties
Its energy above the lowest structure with this stoichiometry is 1 meV per atom. The calculation puts the formation energy from the elements at 0.029 eV/atom.


# Li2Hg4Pd3

A relaxed structure of Li2Hg4Pd3 (PBE, Alexandria).

Unit cell a=4.270 b=4.918 c=8.633 alpha=79.02 beta=90.00 gamma=64.27
Sites, in units of the cell vectors:
Li 0.679 0.642 0.236
Hg 0.018 0.964 0.336
Li 0.321 0.358 0.764
Pd 0.337 0.326 0.443
Hg 0.337 0.326 0.111
Pd 0.000 0.000 0.000
Pd 0.663 0.674 0.557
Hg 0.663 0.674 0.889
Hg 0.982 0.036 0.664

## Properties
The calculation puts the formation energy from the elements at -0.288 eV/atom.


# Ho2Al12Cu7

A relaxed structure of Ho2Al12Cu7 (PBE, Alexandria).

Unit cell a=3.918 b=10.015 c=10.015 alpha=120.00 beta=90.00 gamma=90.00
Sites, in units of the cell vectors:
Al 0.746 0.265 0.152
Cu 0.245 0.875 0.290
Al 0.248 0.951 0.566
Ho 0.261 0.333 0.667
Al 0.254 0.113 0.265
Al 0.752 0.049 0.434
Al 0.752 0.566 0.615
Al 0.746 0.887 0.735
Al 0.752 0.385 0.951
Al 0.254 0.152 0.887
Al 0.254 0.735 0.848
Cu 0.500 0.000 0.000
Cu 0.755 0.290 0.414
Al 0.746 0.848 0.113
Cu 0.755 0.586 0.875
Al 0.248 0.615 0.049
Cu 0.755 0.125 0.710
Al 0.248 0.434 0.385
Cu 0.245 0.414 0.125
Cu 0.245 0.710 0.586
Ho 0.739 0.667 0.333

## Properties
The calculation puts the formation energy from the elements at -0.294 eV/atom.


# H2Pd3Se

A relaxed structure of H2Pd3Se (PBE, Alexandria).

Unit cell a=3.219 b=6.428 c=7.546 alpha=89.25 beta=102.31 gamma=90.00
Sites, in units of the cell vectors:
H 0.978 0.733 0.956
Pd 0.569 0.337 0.138
Se 0.356 0.029 0.713
H 0.022 0.267 0.044
H 0.312 0.556 0.623
Se 0.644 0.971 0.287
H 0.688 0.444 0.377
Pd 0.232 0.319 0.464
Pd 0.096 0.699 0.192
Pd 0.768 0.681 0.536
Pd 0.904 0.301 0.808
Pd 0.431 0.663 0.862

## Properties
The calculation puts the total energy at -52.3 eV per cell.


# LaSe3

A relaxed structure of LaSe3 (PBE, Alexandria).

Unit cell a=4.201 b=4.201 c=6.027 alpha=90.00 beta=90.00 gamma=89.99
Sites, in units of the cell vectors:
La 0.000 0.000 0.000
Se 0.500 0.500 0.795
Se 0.500 0.500 0.205
Se 0.000 0.000 0.500

## Properties
The value obtained for the formation energy (no corrections) is -94 kJ per mole of atoms.


# CsHg2Br2

A relaxed structure of CsHg2Br2 (PBE, Alexandria).

Unit cell a=9.827 b=9.827 c=5.474 alpha=90.00 beta=90.00 gamma=90.00
Sites, in units of the cell vectors:
Hg 0.102 0.602 0.500
Br 0.691 0.809 0.000
Br 0.809 0.309 0.000
Br 0.191 0.691 0.000
Hg 0.398 0.102 0.500
Br 0.309 0.191 0.000
Cs 0.500 0.500 0.000
Cs 0.000 0.000 0.000
Hg 0.602 0.898 0.500
Hg 0.898 0.398 0.500

## Properties
The value obtained for the formation energy (no corrections) is -68 kJ per mole of atoms. Its energy above the lowest structure with this stoichiometry is 45 meV per atom.


# LiLa6Cd2

A relaxed structure of LiLa6Cd2 (PBE, Alexandria).

Unit cell a=6.693 b=9.567 c=9.324 alpha=90.00 beta=76.60 gamma=90.00
Sites, in units of the cell vectors:
La 0.627 0.452 0.291
La 0.607 0.152 0.976
La 0.393 0.848 0.024
La 0.409 0.788 0.438
La 0.107 0.348 0.476
La 0.873 0.952 0.209
Cd 0.144 0.593 0.197
Cd 0.856 0.407 0.803
La 0.091 0.288 0.062
Cd 0.356 0.093 0.303
Cd 0.644 0.907 0.697
La 0.893 0.652 0.524
La 0.909 0.712 0.938
La 0.373 0.548 0.709
Li 0.500 0.500 0.000
La 0.127 0.048 0.791
Li 0.000 0.000 0.500
La 0.591 0.212 0.562

## Properties
The calculation puts the formation energy from the elements at -0.055 eV/atom.


# Tb2SmTl3Te6

A relaxed structure of Tb2SmTl3Te6 (PBE, Alexandria).

Unit cell a=7.769 b=7.769 c=8.585 alpha=98.68 beta=98.68 gamma=120.00
Sites, in units of the cell vectors:
Tl 0.500 0.500 0.500
Tb 0.333 0.667 0.000
Te 0.591 0.928 0.784
Te 0.928 0.591 0.784
Tb 0.667 0.333 0.000
Te 0.266 0.266 0.785
Sm 0.000 0.000 0.000
Te 0.072 0.409 0.216
Te 0.409 0.072 0.216
Tl 0.166 0.834 0.500
Tl 0.834 0.166 0.500
Te 0.734 0.734 0.215

## Properties
The value obtained for the formation energy (no corrections) is -103 kJ per mole of atoms.


| no. | magnetic moment (μB per formula unit) |
| --- | --- |
| 1 | 0.2 |
| 2 | 7.3 |
| 3 | 0.0 |
| 4 | 0.0 |
| 5 | 0.0 |
| 6 | 0.0 |
| 7 | 0.0 |
| 8 | 0.0 |
| 9 | 0.0 |
| 10 | 0.0 |
| 11 | 0.0 |